VASP calculation (PBE) on a relaxed structure of CsAlTlGe2.

a = 5.602 Å, b = 5.736 Å, c = 5.602 Å
α = 90.00°, β = 90.00°, γ = 90.00°
Positions (direct):
Ge  0.500  0.000  0.000
Ge  0.000  0.000  0.500
Cs  0.500  0.500  0.500
Al  0.000  0.500  0.000
Tl  0.000  0.000  0.000

Results
Energy relative to the lowest polymorph listed for this composition, meV/atom: 179
Space group: P4/mmm (123)
E_form, eV/atom: 0.653